First-principles (PBE-GGA) data for an optimized crystal structure of LiTbEr, as listed in the Open Quantum Materials Database.

Cell and atoms, written as CIF:
```
data_LiTbEr
_chemical_formula_sum 'Li4 Tb4 Er4'
_space_group_name_H-M_alt 'F -4 3 m'
_space_group_IT_number 216
_space_group_name_Hall 'F -4 2 3'
_cell_length_a 7.104
_cell_length_b 7.104
_cell_length_c 7.104
_cell_angle_alpha 90.00
_cell_angle_beta 90.00
_cell_angle_gamma 90.00
loop_
_atom_site_label
_atom_site_type_symbol
_atom_site_fract_x
_atom_site_fract_y
_atom_site_fract_z
_atom_site_occupancy
Li1 Li 0.000 0.000 0.000 1
Tb1 Tb 0.250 0.250 0.250 1
Er1 Er 0.250 0.250 0.750 1
```

Computed properties:
Electronic total energy   -3.180 eV per atom

First-principles (PBE-GGA) data for an optimized crystal structure of LiErTe, as listed in the Open Quantum Materials Database.

Cell and atoms, written as CIF:
```
data_LiErTe
_chemical_formula_sum 'Li4 Er4 Te4'
_space_group_name_H-M_alt 'F -4 3 m'
_space_group_IT_number 216
_space_group_name_Hall 'F -4 2 3'
_cell_length_a 6.844
_cell_length_b 6.844
_cell_length_c 6.844
_cell_angle_alpha 90.00
_cell_angle_beta 90.00
_cell_angle_gamma 90.00
loop_
_atom_site_label
_atom_site_type_symbol
_atom_site_fract_x
_atom_site_fract_y
_atom_site_fract_z
_atom_site_occupancy
Li1 Li 0.000 0.000 0.000 1
Er1 Er 0.000 0.000 0.500 1
Te1 Te 0.250 0.250 0.750 1
```

Computed properties:
Electronic total energy   -3.721 eV per atom

First-principles (PBE-GGA) data for an optimized crystal structure of LiEr3Te, as listed in the Open Quantum Materials Database.

Cell and atoms, written as CIF:
```
data_LiEr3Te
_chemical_formula_sum 'Li1 Er3 Te1'
_space_group_name_H-M_alt 'P m -3 m'
_space_group_IT_number 221
_space_group_name_Hall '-P 4 2 3'
_cell_length_a 5.652
_cell_length_b 5.652
_cell_length_c 5.652
_cell_angle_alpha 90.00
_cell_angle_beta 90.00
_cell_angle_gamma 90.00
loop_
_atom_site_label
_atom_site_type_symbol
_atom_site_fract_x
_atom_site_fract_y
_atom_site_fract_z
_atom_site_occupancy
Li1 Li 0.000 0.000 0.000 1
Er1 Er 0.000 0.500 0.500 1
Te1 Te 0.500 0.500 0.500 1
```

Computed properties:
Electronic total energy   -3.599 eV per atom

First-principles (PBE-GGA) data for an optimized crystal structure of LiErTh, as listed in the Open Quantum Materials Database.

Cell and atoms, written as CIF:
```
data_LiErTh
_chemical_formula_sum 'Li4 Er4 Th4'
_space_group_name_H-M_alt 'F -4 3 m'
_space_group_IT_number 216
_space_group_name_Hall 'F -4 2 3'
_cell_length_a 7.022
_cell_length_b 7.022
_cell_length_c 7.022
_cell_angle_alpha 90.00
_cell_angle_beta 90.00
_cell_angle_gamma 90.00
loop_
_atom_site_label
_atom_site_type_symbol
_atom_site_fract_x
_atom_site_fract_y
_atom_site_fract_z
_atom_site_occupancy
Li1 Li 0.000 0.000 0.000 1
Er1 Er 0.250 0.250 0.750 1
Th1 Th 0.250 0.250 0.250 1
```

Computed properties:
Electronic total energy   -4.011 eV per atom

First-principles (PBE-GGA) data for an optimized crystal structure of LiErTl, as listed in the Open Quantum Materials Database.

Cell and atoms, written as CIF:
```
data_LiErTl
_chemical_formula_sum 'Li4 Er4 Tl4'
_space_group_name_H-M_alt 'F -4 3 m'
_space_group_IT_number 216
_space_group_name_Hall 'F -4 2 3'
_cell_length_a 6.609
_cell_length_b 6.609
_cell_length_c 6.609
_cell_angle_alpha 90.00
_cell_angle_beta 90.00
_cell_angle_gamma 90.00
loop_
_atom_site_label
_atom_site_type_symbol
_atom_site_fract_x
_atom_site_fract_y
_atom_site_fract_z
_atom_site_occupancy
Li1 Li 0.000 0.000 0.000 1
Er1 Er 0.250 0.250 0.750 1
Tl1 Tl 0.250 0.250 0.250 1
```

Computed properties:
Electronic total energy   -2.953 eV per atom

First-principles (PBE-GGA) data for an optimized crystal structure of LiErTl, as listed in the Open Quantum Materials Database.

Cell and atoms, written as CIF:
```
data_LiErTl
_chemical_formula_sum 'Li4 Er4 Tl4'
_space_group_name_H-M_alt 'F -4 3 m'
_space_group_IT_number 216
_space_group_name_Hall 'F -4 2 3'
_cell_length_a 7.027
_cell_length_b 7.027
_cell_length_c 7.027
_cell_angle_alpha 90.00
_cell_angle_beta 90.00
_cell_angle_gamma 90.00
loop_
_atom_site_label
_atom_site_type_symbol
_atom_site_fract_x
_atom_site_fract_y
_atom_site_fract_z
_atom_site_occupancy
Li1 Li 0.000 0.000 0.000 1
Er1 Er 0.250 0.250 0.250 1
Tl1 Tl 0.000 0.000 0.500 1
```

Computed properties:
Electronic total energy   -2.648 eV per atom

First-principles (PBE-GGA) data for an optimized crystal structure of LiErTm, as listed in the Open Quantum Materials Database.

Cell and atoms, written as CIF:
```
data_LiErTm
_chemical_formula_sum 'Li4 Er4 Tm4'
_space_group_name_H-M_alt 'F -4 3 m'
_space_group_IT_number 216
_space_group_name_Hall 'F -4 2 3'
_cell_length_a 7.051
_cell_length_b 7.051
_cell_length_c 7.051
_cell_angle_alpha 90.00
_cell_angle_beta 90.00
_cell_angle_gamma 90.00
loop_
_atom_site_label
_atom_site_type_symbol
_atom_site_fract_x
_atom_site_fract_y
_atom_site_fract_z
_atom_site_occupancy
Li1 Li 0.000 0.000 0.000 1
Er1 Er 0.250 0.250 0.750 1
Tm1 Tm 0.250 0.250 0.250 1
```

Computed properties:
Electronic total energy   -3.124 eV per atom

First-principles (PBE-GGA) data for an optimized crystal structure of LiErW, as listed in the Open Quantum Materials Database.

Cell and atoms, written as CIF:
```
data_LiErW
_chemical_formula_sum 'Li4 Er4 W4'
_space_group_name_H-M_alt 'F -4 3 m'
_space_group_IT_number 216
_space_group_name_Hall 'F -4 2 3'
_cell_length_a 6.626
_cell_length_b 6.626
_cell_length_c 6.626
_cell_angle_alpha 90.00
_cell_angle_beta 90.00
_cell_angle_gamma 90.00
loop_
_atom_site_label
_atom_site_type_symbol
_atom_site_fract_x
_atom_site_fract_y
_atom_site_fract_z
_atom_site_occupancy
Li1 Li 0.000 0.000 0.000 1
Er1 Er 0.250 0.250 0.250 1
W1 W 0.000 0.000 0.500 1
```

Computed properties:
Electronic total energy   -4.824 eV per atom

First-principles (PBE-GGA) data for an optimized crystal structure of LiErW, as listed in the Open Quantum Materials Database.

Cell and atoms, written as CIF:
```
data_LiErW
_chemical_formula_sum 'Li4 Er4 W4'
_space_group_name_H-M_alt 'F -4 3 m'
_space_group_IT_number 216
_space_group_name_Hall 'F -4 2 3'
_cell_length_a 6.215
_cell_length_b 6.215
_cell_length_c 6.215
_cell_angle_alpha 90.00
_cell_angle_beta 90.00
_cell_angle_gamma 90.00
loop_
_atom_site_label
_atom_site_type_symbol
_atom_site_fract_x
_atom_site_fract_y
_atom_site_fract_z
_atom_site_occupancy
Li1 Li 0.000 0.000 0.000 1
Er1 Er 0.250 0.250 0.750 1
W1 W 0.250 0.250 0.250 1
```

Computed properties:
Electronic total energy   -5.237 eV per atom

First-principles (PBE-GGA) data for an optimized crystal structure of LiYEr, as listed in the Open Quantum Materials Database.

Cell and atoms, written as CIF:
```
data_LiYEr
_chemical_formula_sum 'Li4 Y4 Er4'
_space_group_name_H-M_alt 'F -4 3 m'
_space_group_IT_number 216
_space_group_name_Hall 'F -4 2 3'
_cell_length_a 7.111
_cell_length_b 7.111
_cell_length_c 7.111
_cell_angle_alpha 90.00
_cell_angle_beta 90.00
_cell_angle_gamma 90.00
loop_
_atom_site_label
_atom_site_type_symbol
_atom_site_fract_x
_atom_site_fract_y
_atom_site_fract_z
_atom_site_occupancy
Li1 Li 0.000 0.000 0.000 1
Y1 Y 0.250 0.250 0.250 1
Er1 Er 0.250 0.250 0.750 1
```

Computed properties:
Electronic total energy   -3.797 eV per atom

First-principles (PBE-GGA) data for an optimized crystal structure of LiErZn, as listed in the Open Quantum Materials Database.

Cell and atoms, written as CIF:
```
data_LiErZn
_chemical_formula_sum 'Li4 Er4 Zn4'
_space_group_name_H-M_alt 'F -4 3 m'
_space_group_IT_number 216
_space_group_name_Hall 'F -4 2 3'
_cell_length_a 6.651
_cell_length_b 6.651
_cell_length_c 6.651
_cell_angle_alpha 90.00
_cell_angle_beta 90.00
_cell_angle_gamma 90.00
loop_
_atom_site_label
_atom_site_type_symbol
_atom_site_fract_x
_atom_site_fract_y
_atom_site_fract_z
_atom_site_occupancy
Li1 Li 0.000 0.000 0.000 1
Er1 Er 0.250 0.250 0.250 1
Zn1 Zn 0.000 0.000 0.500 1
```

Computed properties:
Electronic total energy   -2.139 eV per atom

First-principles (PBE-GGA) data for an optimized crystal structure of LiErZn, as listed in the Open Quantum Materials Database.

Cell and atoms, written as CIF:
```
data_LiErZn
_chemical_formula_sum 'Li4 Er4 Zn4'
_space_group_name_H-M_alt 'F -4 3 m'
_space_group_IT_number 216
_space_group_name_Hall 'F -4 2 3'
_cell_length_a 6.567
_cell_length_b 6.567
_cell_length_c 6.567
_cell_angle_alpha 90.00
_cell_angle_beta 90.00
_cell_angle_gamma 90.00
loop_
_atom_site_label
_atom_site_type_symbol
_atom_site_fract_x
_atom_site_fract_y
_atom_site_fract_z
_atom_site_occupancy
Li1 Li 0.000 0.000 0.000 1
Er1 Er 0.000 0.000 0.500 1
Zn1 Zn 0.250 0.250 0.750 1
```

Computed properties:
Electronic total energy   -2.480 eV per atom